Sr3V2CrO9: relaxed, PBE+U.

Properties
M_tot: 4.00 μB/f.u.
DFT total energy: -7.2323 eV/atom
Calculated volume: 178.6 Å³ per cell

a = 5.5317 Å, b = 5.5317 Å, c = 6.7411 Å
α = 90.00°, β = 90.00°, γ = 120.00°
Last column: nearest neighbours and their distance in Å.
Space group P-3m1 (No. 164)
Symmetry-distinct sites (fractional):
1 Sr 0.0000 0.0000 0.0000  12 O 2.74-2.77
2 Sr 0.3333 0.6667 0.6681  12 O 2.75-2.78
3 V 0.3333 0.6667 0.1706  6 O 1.89-1.97
4 Cr 0.0000 0.0000 0.5000  6 O 2.00
5 O 0.0000 0.5000 0.0000  2 V 1.97
6 O 0.1694 0.3388 0.3274  1 V 1.89, 1 Cr 2.00